1.
# PuCoCuSn | Alexandria | GGA-PBE | relaxed
data_PuCoCuSn
_cell_length_a 6.590
_cell_length_b 6.590
_cell_length_c 6.590
_cell_angle_alpha 90.00
_cell_angle_beta 90.00
_cell_angle_gamma 90.00
_symmetry_space_group_name_H-M 'F -4 3 m'
_symmetry_Int_Tables_number 216
_symmetry_space_group_name_Hall 'F -4 2 3'
loop_
_atom_site_label
_atom_site_type_symbol
_atom_site_fract_x
_atom_site_fract_y
_atom_site_fract_z
_atom_site_occupancy
Pu1 Pu 0.000 0.000 0.000 1
Co1 Co 0.250 0.250 0.750 1
Cu1 Cu 0.250 0.250 0.250 1
Sn1 Sn 0.000 0.000 0.500 1
# Energy of formation ... -75 meV per atom
# Electronic total energy ... -119.3 eV/cell
# Theoretical density ... 11.26 g/cm3

2.
# TbPuCoCu | Alexandria | GGA-PBE | relaxed
data_TbPuCoCu
_cell_length_a 6.815
_cell_length_b 6.815
_cell_length_c 6.815
_cell_angle_alpha 90.00
_cell_angle_beta 90.00
_cell_angle_gamma 90.00
_symmetry_space_group_name_H-M 'F -4 3 m'
_symmetry_Int_Tables_number 216
_symmetry_space_group_name_Hall 'F -4 2 3'
loop_
_atom_site_label
_atom_site_type_symbol
_atom_site_fract_x
_atom_site_fract_y
_atom_site_fract_z
_atom_site_occupancy
Tb1 Tb 0.000 0.000 0.000 1
Pu1 Pu 0.000 0.000 0.500 1
Co1 Co 0.250 0.250 0.750 1
Cu1 Cu 0.250 0.250 0.250 1
# Energy of formation ... -2 meV per atom
# Electronic total energy ... -120.7 eV/cell
# Theoretical density ... 11.03 g/cm3

3.
# TmPuCoCu | Alexandria | GGA-PBE | relaxed
data_TmPuCoCu
_cell_length_a 6.749
_cell_length_b 6.749
_cell_length_c 6.749
_cell_angle_alpha 90.00
_cell_angle_beta 90.00
_cell_angle_gamma 90.00
_symmetry_space_group_name_H-M 'F -4 3 m'
_symmetry_Int_Tables_number 216
_symmetry_space_group_name_Hall 'F -4 2 3'
loop_
_atom_site_label
_atom_site_type_symbol
_atom_site_fract_x
_atom_site_fract_y
_atom_site_fract_z
_atom_site_occupancy
Tm1 Tm 0.000 0.000 0.000 1
Pu1 Pu 0.000 0.000 0.500 1
Co1 Co 0.250 0.250 0.250 1
Cu1 Cu 0.250 0.250 0.750 1
# Energy of formation ... -39 meV per atom
# Electronic total energy ... -120.6 eV/cell
# Theoretical density ... 11.57 g/cm3

4.
# PuUCoCu | Alexandria | GGA-PBE | relaxed
data_PuUCoCu
_cell_length_a 6.383
_cell_length_b 6.383
_cell_length_c 6.383
_cell_angle_alpha 90.00
_cell_angle_beta 90.00
_cell_angle_gamma 90.00
_symmetry_space_group_name_H-M 'F -4 3 m'
_symmetry_Int_Tables_number 216
_symmetry_space_group_name_Hall 'F -4 2 3'
loop_
_atom_site_label
_atom_site_type_symbol
_atom_site_fract_x
_atom_site_fract_y
_atom_site_fract_z
_atom_site_occupancy
Pu1 Pu 0.000 0.000 0.000 1
U1 U 0.250 0.250 0.250 1
Co1 Co 0.000 0.000 0.500 1
Cu1 Cu 0.250 0.250 0.750 1
# Energy of formation ... -62 meV per atom
# Electronic total energy ... -148.3 eV/cell
# Theoretical density ... 15.44 g/cm3

Among the records above, which one has the lowest energy of formation?
PuCoCuSn

Which formula does entry 2 have?
TbPuCoCu

What is the energy of formation in the first record?
-75 meV per atom

What is the energy of formation in the first record?
-75 meV per atom